1.
VASP calculation (PBE) on an optimized crystal structure of HoNbNO.

abc: 3.3123 6.0986 6.0874
angles: 90.00 90.00 90.00
With the nearest neighbours (Å) after each atom.
Positions (direct):
Ho  0.5000  0.0116  0.1773  2 O 2.16-2.20, 2 N 2.29
Ho  0.5000  0.5116  0.8227  2 O 2.16-2.20, 2 N 2.29
O  0.5000  0.8655  0.8465  2 Ho 2.16-2.20, 2 Nb 2.24
Nb  0.0000  0.5295  0.3404  2 N 1.95-2.04
Nb  0.0000  0.0295  0.6596  2 N 1.95-2.04
O  0.5000  0.3655  0.1535  2 Ho 2.16-2.20, 2 Nb 2.24
N  0.0000  0.8474  0.3791  2 Nb 1.95-2.04
N  0.0000  0.3474  0.6209  2 Nb 1.95-2.04

Summary:
Its magnetization is 0.02 μB/cell.


2.
VASP calculation (PBE) on an optimized crystal structure of BeZn2Sn.

abc: 4.5956 4.5956 4.5956
angles: 60.00 60.00 60.00
With the nearest neighbours (Å) after each atom.
Positions (direct):
Zn  0.7500  0.7500  0.7500  4 Be 2.81, 4 Zn 2.81
Zn  0.5000  0.5000  0.5000  4 Sn 2.81, 4 Zn 2.81
Be  0.0000  0.0000  0.0000  4 Zn 2.81, 4 Sn 2.81
Sn  0.2500  0.2500  0.2500  4 Zn 2.81, 4 Be 2.81


3.
VASP calculation (PBE) on an optimized crystal structure of PrLuMg.

abc: 5.2690 5.2690 5.2690
angles: 60.00 60.00 60.00
With the nearest neighbours (Å) after each atom.
Positions (direct):
Mg  0.0000  0.0000  0.0000  4 Lu 3.23, 4 Pr 3.23
Lu  0.2500  0.2500  0.2500  4 Mg 3.23
Pr  0.7500  0.7500  0.7500  4 Mg 3.23

Summary:
Its magnetization is 0.41 μB/cell.


4.
VASP calculation (PBE) on an optimized crystal structure of LuGaNiHg.

abc: 4.6912 4.6912 4.6912
angles: 60.00 60.00 60.00
With the nearest neighbours (Å) after each atom.
Positions (direct):
Hg  0.2500  0.2500  0.2500  4 Lu 2.87, 4 Ga 2.87
Lu  0.5000  0.5000  0.5000  4 Hg 2.87, 4 Ni 2.87
Ni  0.7500  0.7500  0.7500  4 Ga 2.87, 4 Lu 2.87
Ga  0.0000  0.0000  0.0000  4 Ni 2.87, 4 Hg 2.87

Summary:
Its magnetization is 0.01 μB/cell.


Number 1: VASP energy -8.4822 eV/atom. Number 2: VASP energy -2.1423 eV/atom. Number 3: VASP energy -3.2205 eV/atom. Number 4: VASP energy -3.6000 eV/atom.